Compound: Y6TlSe2S3
Source: Alexandria via LeMat-Bulk
Functional: PBE
Structure: optimized geometry

Structure (POSCAR):
```
Y6TlSe2S3
1.0
3.967 0.000 0.000
0.000 8.291 0.275
-1.984 -2.413 8.565
Y Tl Se S
6 1 2 3
direct
0.328 0.928 0.655 Y
0.661 0.594 0.322 Y
0.672 0.072 0.345 Y
0.997 0.270 0.995 Y
0.003 0.730 0.005 Y
0.339 0.406 0.678 Y
0.500 0.000 0.000 Tl
0.830 0.662 0.661 Se
0.170 0.338 0.339 Se
0.500 0.500 0.000 S
0.832 0.169 0.665 S
0.168 0.831 0.335 S
```

Calculated values
Crystal system: monoclinic
Size of the total moment in μB/f.u.: 0.000
Formation energy from raw total energies in kJ/mol of formula units: -1881
Space group: C2/m